DFT (PBE-GGA) results for a relaxed Ag2BiSe crystal.

a b c (Å): 4.0838 4.0838 6.9799
angles (deg): 72.99 72.99 60.00
Positions (direct):
Ag1 0.2602 0.2602 0.2195
Ag2 0.7398 0.7398 0.7805
Bi1 0.5000 0.5000 0.5000
Se1 0.0000 0.0000 0.0000

Calculated values
Mass density   8.81 g/cm3
E_form (uncorrected)   0.049 eV/atom